[1]
DFT (PBE-GGA) results for Pa3Ni5 after structural relaxation.

## Properties
Space-group type ... Pnma, No. 62
Total moment ... 0.00 Bohr magnetons per cell
Energy ... -7.5499 eV/atom

Cell: 5.9864 8.0144 11.3906 Å, 90.00 90.00 90.00°
With the nearest neighbours (Å) after each atom.
Positions (direct):
1 Pa 0.6193 0.2500 0.0852  4 Ni 2.53-2.79
2 Pa 0.8807 0.2500 0.5852  4 Ni 2.53-2.79
3 Pa 0.3807 0.7500 0.9148  4 Ni 2.53-2.79
4 Pa 0.1193 0.7500 0.4148  4 Ni 2.53-2.79
5 Pa 0.1142 0.4989 0.1503  6 Ni 2.71-2.86
6 Pa 0.3858 0.0011 0.6503  6 Ni 2.71-2.86
7 Pa 0.8858 0.9989 0.8497  6 Ni 2.71-2.86
8 Pa 0.6142 0.5011 0.3497  6 Ni 2.71-2.86
9 Pa 0.8858 0.5011 0.8497  6 Ni 2.71-2.86
10 Pa 0.6142 0.9989 0.3497  6 Ni 2.71-2.86
11 Pa 0.1142 0.0011 0.1503  6 Ni 2.71-2.86
12 Pa 0.3858 0.4989 0.6503  6 Ni 2.71-2.86
13 Ni 0.4261 0.2500 0.4901  3 Ni 2.50, 2 Pa 2.71
14 Ni 0.0739 0.2500 0.9901  3 Ni 2.50, 2 Pa 2.71
15 Ni 0.5739 0.7500 0.5099  3 Ni 2.50, 2 Pa 2.71
16 Ni 0.9261 0.7500 0.0099  3 Ni 2.50, 2 Pa 2.71
17 Ni 0.3119 0.2500 0.2794  4 Ni 2.46-2.50, 2 Pa 2.75
18 Ni 0.1881 0.2500 0.7794  4 Ni 2.46-2.50, 2 Pa 2.75
19 Ni 0.6881 0.7500 0.7206  4 Ni 2.46-2.50, 2 Pa 2.75
20 Ni 0.8119 0.7500 0.2206  4 Ni 2.46-2.50, 2 Pa 2.75
21 Ni 0.8950 0.2500 0.2885  3 Ni 2.48-2.50, 2 Pa 2.71
22 Ni 0.6050 0.2500 0.7885  3 Ni 2.48-2.50, 2 Pa 2.71
23 Ni 0.1050 0.7500 0.7115  3 Ni 2.48-2.50, 2 Pa 2.71
24 Ni 0.3950 0.7500 0.2115  3 Ni 2.48-2.50, 2 Pa 2.71
25 Ni 0.1183 0.4343 0.4189  4 Ni 2.46-2.56, 1 Pa 2.53
26 Ni 0.3817 0.0657 0.9189  4 Ni 2.46-2.56, 1 Pa 2.53
27 Ni 0.8817 0.9343 0.5811  4 Ni 2.46-2.56, 1 Pa 2.53
28 Ni 0.6183 0.5657 0.0811  4 Ni 2.46-2.56, 1 Pa 2.53
29 Ni 0.8817 0.5657 0.5811  4 Ni 2.46-2.56, 1 Pa 2.53
30 Ni 0.6183 0.9343 0.0811  4 Ni 2.46-2.56, 1 Pa 2.53
31 Ni 0.1183 0.0657 0.4189  4 Ni 2.46-2.56, 1 Pa 2.53
32 Ni 0.3817 0.4343 0.9189  4 Ni 2.46-2.56, 1 Pa 2.53

[2]
DFT (PBE-GGA) results for LiAl2Ga after structural relaxation.

## Properties
Space-group type ... P4/mmm, No. 123
Total moment ... 0.00 Bohr magnetons per cell
Energy ... -3.2146 eV/atom

Cell: 3.9120 4.0678 4.0678 Å, 90.00 90.00 90.00°
With the nearest neighbours (Å) after each atom.
Positions (direct):
1 Al 0.0000 0.0000 0.5000  4 Li 2.82, 4 Ga 2.82, 4 Al 2.88
2 Al 0.0000 0.5000 0.0000  4 Li 2.82, 4 Ga 2.82, 4 Al 2.88
3 Ga 0.5000 0.0000 0.0000  8 Al 2.82, 4 Li 2.88
4 Li 0.5000 0.5000 0.5000  8 Al 2.82, 4 Ga 2.88

[3]
DFT (PBE-GGA) results for Si2AsSe after structural relaxation.

## Properties
Space-group type ... Immm, No. 71
Energy relative to the elements, uncorrected ... 0.53 eV per atom
Total moment ... 0.00 Bohr magnetons per cell

Cell: 5.7799 5.7799 5.7799 Å, 146.64 135.45 56.78°
With the nearest neighbours (Å) after each atom.
Positions (direct):
1 As 0.7500 0.2500 0.5000  4 Se 2.75, 4 Si 2.75
2 Se 0.2500 0.7500 0.5000  4 As 2.75
3 Si 0.9656 0.9656 0.0000  2 As 2.75, 4 Si 2.84
4 Si 0.5344 0.5344 0.0000  2 As 2.75, 4 Si 2.84

[4]
DFT (PBE-GGA) results for YGeF after structural relaxation.

## Properties
Space-group type ... P-6m2, No. 187
Energy relative to the elements, uncorrected ... -1.76 eV per atom
Total moment ... 0.00 Bohr magnetons per cell

Cell: 4.8011 3.8473 3.8473 Å, 120.00 90.00 90.00°
With the nearest neighbours (Å) after each atom.
Positions (direct):
1 Y 0.1665 0.0000 0.0000  3 F 2.22
2 Ge 0.6666 0.6667 0.3333  6 F 3.27, 6 Y 3.27
3 F 0.1669 0.3333 0.6667  3 Y 2.22

[5]
DFT (PBE-GGA) results for KBeIr2 after structural relaxation.

## Properties
Space-group type ... P2/m, No. 10
Total moment ... 0.00 Bohr magnetons per cell
Energy ... -5.2031 eV/atom

Cell: 3.7053 2.6684 7.5427 Å, 80.84 90.00 90.00°
With the nearest neighbours (Å) after each atom.
Positions (direct):
1 Be 0.5000 0.7500 0.7500  4 Ir 2.29
2 K 0.5000 0.2500 0.2500  2 K 2.67
3 Ir 0.0000 0.9449 0.9051  2 Be 2.29
4 Ir 0.0000 0.5551 0.5949  2 Be 2.29

[6]
DFT (PBE-GGA) results for HoPaS2 after structural relaxation.

## Properties
Space-group type ... Fm-3m, No. 225
Energy relative to the elements, uncorrected ... -1.33 eV per atom
Total moment ... 0.00 Bohr magnetons per cell

Cell: 4.7897 4.7897 4.7893 Å, 60.00 60.00 60.00°
With the nearest neighbours (Å) after each atom.
Positions (direct):
1 S 0.2500 0.2500 0.2499  4 Ho 2.93, 4 Pa 2.93
2 S 0.7500 0.7500 0.7501  4 Ho 2.93, 4 Pa 2.93
3 Pa 0.0000 0.0000 0.0000  8 S 2.93
4 Ho 0.5000 0.5000 0.5000  8 S 2.93

[7]
DFT (PBE-GGA) results for SrScCo4 after structural relaxation.

## Properties
Space-group type ... F-43m, No. 216
Total moment ... 4.61 Bohr magnetons per cell
Energy ... -5.9687 eV/atom

Cell: 5.0859 5.0859 5.0859 Å, 60.00 60.00 60.00°
With the nearest neighbours (Å) after each atom.
Positions (direct):
1 Sr 0.0000 0.0000 0.0000  12 Co 2.99, 4 Sc 3.11
2 Sc 0.7500 0.7500 0.7500  12 Co 2.98, 4 Sr 3.11
3 Co 0.3765 0.8705 0.3765  6 Co 2.51-2.57
4 Co 0.8705 0.3765 0.3765  6 Co 2.51-2.57
5 Co 0.3765 0.3765 0.8705  6 Co 2.51-2.57
6 Co 0.3765 0.3765 0.3765  6 Co 2.51-2.57

[8]
DFT (PBE-GGA) results for K4In3 after structural relaxation.

## Properties
Space-group type ... P6/mmm, No. 191
Total moment ... 0.00 Bohr magnetons per cell
Energy ... -1.8121 eV/atom

Cell: 6.6880 6.6880 7.2716 Å, 90.00 90.00 120.00°
With the nearest neighbours (Å) after each atom.
Positions (direct):
1 K 0.0000 0.0000 0.2343  1 K 3.41, 6 In 3.75
2 K 0.0000 0.0000 0.7657  1 K 3.41, 6 In 3.75
3 K 0.6667 0.3333 0.5000  9 K 3.86-4.32, 6 In 4.12
4 K 0.3333 0.6667 0.5000  9 K 3.86-4.32, 6 In 4.12
5 In 0.0000 0.5000 0.0000  4 In 3.34
6 In 0.5000 0.5000 0.0000  4 In 3.34
7 In 0.5000 0.0000 0.0000  4 In 3.34